No. 1
First-principles (PBE) data for Zr2AlPt after structural relaxation, as listed in Alexandria.

Unit cell a=5.745 b=5.745 c=4.610 alpha=66.33 beta=66.33 gamma=33.91
Fractional positions:
Zr1 0.981 0.981 0.019
Zr2 0.748 0.748 0.752
Pt1 0.237 0.237 0.263
Al1 0.534 0.534 0.466

Properties
ΔE_f in eV/atom: -0.698
Magnetization in μB per atom: 0.000


No. 2
First-principles (PBE) data for SmPb3 after structural relaxation, as listed in Alexandria.

Unit cell a=5.612 b=5.612 c=5.612 alpha=60.00 beta=60.00 gamma=60.00
Fractional positions:
Pb1 0.000 0.000 0.000
Pb2 0.750 0.750 0.750
Pb3 0.250 0.250 0.250
Sm1 0.500 0.500 0.500

Properties
ΔE_f in eV/atom: -0.149
Magnetization in μB per atom: 0.000


No. 3
First-principles (PBE) data for LaTbAs2O8 after structural relaxation, as listed in Alexandria.

Unit cell a=5.150 b=5.150 c=6.884 alpha=111.97 beta=111.97 gamma=90.00
Fractional positions:
La1 0.750 0.250 0.500
Tb1 0.000 0.000 0.000
As1 0.500 0.500 0.000
As2 0.250 0.750 0.500
O1 0.723 0.824 0.150
O2 0.427 0.327 0.150
O3 0.579 0.697 0.660
O4 0.081 0.963 0.660
O5 0.037 0.421 0.340
O6 0.303 0.919 0.340
O7 0.176 0.573 0.850
O8 0.673 0.277 0.850

Properties
Calculated total energy in eV/atom: -7.224
Magnetization in μB per atom: 0.000


No. 4
First-principles (PBE) data for ZrP2SO after structural relaxation, as listed in Alexandria.

Unit cell a=4.553 b=4.553 c=3.657 alpha=90.00 beta=90.00 gamma=90.00
Fractional positions:
P1 0.000 0.500 0.000
P2 0.500 0.000 0.000
S1 0.000 0.000 0.000
O1 0.000 0.000 0.500
Zr1 0.500 0.500 0.500

Properties
Calculated total energy in eV/atom: -5.773
Magnetization in μB per atom: 0.000


No. 5
First-principles (PBE) data for ScCd2P after structural relaxation, as listed in Alexandria.

Unit cell a=6.670 b=6.670 c=3.637 alpha=90.00 beta=90.00 gamma=148.46
Fractional positions:
Sc1 0.734 0.266 0.500
Cd1 0.065 0.935 0.000
Cd2 0.452 0.548 0.500
P1 0.274 0.726 0.000

Properties
ΔE_f in eV/atom: -0.492
Magnetization in μB per atom: 0.000


No. 6
First-principles (PBE) data for NdHoZnTc after structural relaxation, as listed in Alexandria.

Unit cell a=4.997 b=4.997 c=4.997 alpha=60.00 beta=60.00 gamma=60.00
Fractional positions:
Zn1 0.000 0.000 0.000
Nd1 0.250 0.250 0.250
Ho1 0.750 0.750 0.750
Tc1 0.500 0.500 0.500

Properties
ΔE_f in eV/atom: -0.079
Magnetization in μB per atom: 0.000